# 1
DFT (PBE) results for a relaxed structure of PuHfB.

Calculated values
SG = No. 216
Uncorrected energy = -10.136 eV per atom
Mass density = 13.25 g/cm³
Magnetization = 5.223 μB per cell

Structure (POSCAR):
```
PuHfB
1.0
0.000 3.005 3.005
3.005 0.000 3.005
3.005 3.005 0.000
B Hf Pu
1 1 1
Direct
0.000 0.000 0.000
0.250 0.250 0.250
0.750 0.750 0.750
```

# 2
DFT (PBE) results for a relaxed structure of Ag3GeSe2S2.

Calculated values
SG = No. 5
Uncorrected energy = -3.702 eV per atom
Mass density = 5.20 g/cm³

Structure (POSCAR):
```
Ag3GeSe2S2
1.0
0.814 7.064 0.200
-1.247 5.054 -4.849
-4.808 -1.891 2.716
Ag Ge S Se
3 1 2 2
Direct
0.249 0.251 0.224
0.015 0.985 0.500
0.749 0.751 0.776
0.489 0.511 0.000
0.154 0.619 0.114
0.381 0.846 0.886
0.852 0.390 0.356
0.610 0.148 0.644
```

# 3
DFT (PBE) results for a relaxed structure of GdSbN2O.

Calculated values
SG = No. 123
Uncorrected energy = -6.746 eV per atom
Mass density = 8.40 g/cm³
Magnetization = 0.002 μB per cell

Structure (POSCAR):
```
GdSbN2O
1.0
4.025 0.000 0.000
0.000 4.025 0.000
0.000 0.000 3.939
Gd N O Sb
1 2 1 1
Direct
0.000 0.000 0.000
0.500 0.000 0.500
0.000 0.500 0.500
0.500 0.500 0.000
0.500 0.500 0.500
```

# 4
DFT (PBE) results for a relaxed structure of TlTcAgTe2S.

Calculated values
SG = No. 63
Uncorrected energy = -4.286 eV per atom
Mass density = 7.53 g/cm³
Magnetization = 5.065 μB per cell

Structure (POSCAR):
```
TlTcAgTe2S
1.0
1.980 -7.716 0.000
1.980 7.716 0.000
0.000 0.000 10.067
Ag S Tc Te Tl
2 2 2 4 2
Direct
0.033 0.967 0.250
0.967 0.033 0.750
0.436 0.564 0.250
0.564 0.436 0.750
0.500 0.500 0.000
0.500 0.500 0.500
0.128 0.872 0.023
0.128 0.872 0.477
0.872 0.128 0.523
0.872 0.128 0.977
0.749 0.251 0.250
0.251 0.749 0.750
```